First-principles (PBE) data for a relaxed Sb2AsRu crystal, as listed in the Alexandria database.

Values from the calculation:
The total magnetic moment is 0.0 Bohr magnetons per cell. The uncorrected formation energy comes out at 0.27 eV per atom. For the total energy, the calculation gives -5.272 eV/atom. As for the crystal system: tetragonal. Its density is 6.13 g cm⁻³.

a = 6.151 Å, b = 6.151 Å, c = 7.419 Å
α = 65.51°, β = 65.51°, γ = 90.00°
Fractional coordinates of all 8 atoms:
Ru (0.000, 0.000, 0.000)
Ru (0.750, 0.250, 0.500)
Sb (0.658, 0.125, 0.250)
Sb (0.092, 0.625, 0.250)
Sb (0.875, 0.908, 0.750)
Sb (0.375, 0.342, 0.750)
As (0.250, 0.750, 0.500)
As (0.500, 0.500, 0.000)